Entry 1:
This record from Alexandria via LeMat-Bulk describes a relaxed structure of Cs2TlSeI6. The functional is PBE-GGA.

## Properties
Excess energy over the best structure of this formula in the dataset ... 0.0 meV per atom
Formation energy without anion corrections ... -0.715 eV per atom

a b c (Å): 6.196 6.196 12.203
angles (deg): 90.00 90.00 90.00
Space group P4/mmm (No. 123)
Unique sites:
1 Cs 0.000 0.000 0.240 (multiplicity 2)
2 Tl 0.500 0.500 0.500 (multiplicity 1)
3 Se 0.500 0.500 0.000 (multiplicity 1)
4 I 0.000 0.500 0.000 (multiplicity 2)
5 I 0.000 0.500 0.500 (multiplicity 2)
6 I 0.500 0.500 0.230 (multiplicity 2)

---

Entry 2:
This record from Alexandria via LeMat-Bulk describes a relaxed structure of K3N2O4. The functional is PBE-GGA.

## Properties
Formation energy without anion corrections ... -0.719 eV per atom

a b c (Å): 3.758 5.579 8.217
angles (deg): 109.70 102.98 90.61
Space group P-1 (No. 2)
Unique sites:
1 K 0.000 0.000 0.000 (multiplicity 1)
2 K 0.186 0.687 0.374 (multiplicity 2)
3 N 0.385 0.564 0.000 (multiplicity 2)
4 O 0.355 0.986 0.717 (multiplicity 2)
5 O 0.365 0.731 0.717 (multiplicity 2)

---

Entry 3:
This record from Alexandria via LeMat-Bulk describes a relaxed structure of ThPa2Ru. The functional is PBE-GGA.

## Properties
Formation energy ... 0.229 eV/atom
Excess energy over the best structure of this formula in the dataset ... 397.3 meV per atom

a b c (Å): 4.3433 4.3433 18.0688
angles (deg): 90.00 90.00 120.00
Space group R-3m (No. 166, hexagonal axes)
Unique sites:
1 Th 0.0000 0.0000 0.0000 (multiplicity 3)
2 Pa 0.0000 0.0000 0.2364 (multiplicity 6)
3 Ru 0.0000 0.0000 0.5000 (multiplicity 3)

---

Entry 4:
This record from Alexandria via LeMat-Bulk describes a relaxed structure of Tb3PuPd12. The functional is PBE-GGA.

## Properties
Formation energy ... -0.794 eV/atom

a b c (Å): 4.131 4.131 16.564
angles (deg): 90.00 90.00 90.00
Space group P4/mmm (No. 123)
Unique sites:
1 Tb 0.000 0.000 0.000 (multiplicity 1)
2 Tb 0.000 0.000 0.249 (multiplicity 2)
3 Pu 0.000 0.000 0.500 (multiplicity 1)
4 Pd 0.000 0.500 0.125 (multiplicity 4)
5 Pd 0.000 0.500 0.376 (multiplicity 4)
6 Pd 0.500 0.500 0.000 (multiplicity 1)
7 Pd 0.500 0.500 0.250 (multiplicity 2)
8 Pd 0.500 0.500 0.500 (multiplicity 1)

---

Entry 5:
This record from Alexandria via LeMat-Bulk describes a relaxed structure of PaAl2Ni2. The functional is PBE-GGA.

## Properties
Formation energy ... -0.509 eV/atom

a b c (Å): 3.869 3.869 10.849
angles (deg): 90.00 90.00 90.00
Space group I4/mmm (No. 139)
Unique sites:
1 Pa 0.000 0.000 0.000 (multiplicity 2)
2 Al 0.000 0.500 0.250 (multiplicity 4)
3 Ni 0.000 0.000 0.391 (multiplicity 4)

---

Entry 6:
This record from Alexandria via LeMat-Bulk describes a relaxed structure of Ca2YCd. The functional is PBE-GGA.

## Properties
Formation energy ... -0.031 eV/atom

a b c (Å): 5.600 5.600 7.997
angles (deg): 90.00 90.00 90.00
Space group I-4m2 (No. 119)
Unique sites:
1 Ca 0.000 0.000 0.000 (multiplicity 2)
2 Ca 0.000 0.500 0.250 (multiplicity 2)
3 Y 0.000 0.000 0.500 (multiplicity 2)
4 Cd 0.000 0.500 0.750 (multiplicity 2)

---

Entry 7:
This record from Alexandria via LeMat-Bulk describes a relaxed structure of Ac15LaTb4. The functional is PBE-GGA.

## Properties
Formation energy ... 0.032 eV/atom

a b c (Å): 5.518 5.518 27.484
angles (deg): 90.00 90.00 90.00
Space group P4/mmm (No. 123)
Unique sites:
1 Ac 0.000 0.000 0.000 (multiplicity 1)
2 Ac 0.000 0.000 0.202 (multiplicity 2)
3 Ac 0.000 0.000 0.401 (multiplicity 2)
4 Ac 0.000 0.500 0.102 (multiplicity 4)
5 Ac 0.000 0.500 0.301 (multiplicity 4)
6 Ac 0.000 0.500 0.500 (multiplicity 2)
7 La 0.500 0.500 0.000 (multiplicity 1)
8 Tb 0.500 0.500 0.201 (multiplicity 2)
9 Tb 0.500 0.500 0.400 (multiplicity 2)

---

Entry 8:
This record from Alexandria via LeMat-Bulk describes a relaxed structure of CsB3Sb. The functional is PBE-GGA.

## Properties
Excess energy over the best structure of this formula in the dataset ... 0.0 meV per atom
Formation energy without anion corrections ... 1.974 eV per atom

a b c (Å): 4.790 4.790 4.790
angles (deg): 90.00 90.00 90.00
Space group Pm-3m (No. 221)
Unique sites:
1 Cs 0.000 0.000 0.000 (multiplicity 1)
2 B 0.000 0.500 0.500 (multiplicity 3)
3 Sb 0.500 0.500 0.500 (multiplicity 1)

---

Entry 9:
This record from Alexandria via LeMat-Bulk describes a relaxed structure of Pm3Nd3Ho8. The functional is PBE-GGA.

## Properties
Formation energy ... 0.109 eV/atom
Excess energy over the best structure of this formula in the dataset ... 0.0 meV per atom

a b c (Å): 5.682 10.774 15.204
angles (deg): 90.00 90.00 90.00
Space group Immm (No. 71)
Unique sites:
1 Pm 0.000 0.000 0.000 (multiplicity 2)
2 Pm 0.000 0.301 0.000 (multiplicity 4)
3 Nd 0.000 0.000 0.500 (multiplicity 2)
4 Nd 0.000 0.500 0.187 (multiplicity 4)
5 Ho 0.000 0.161 0.220 (multiplicity 8)
6 Ho 0.000 0.340 0.397 (multiplicity 8)

---

Entry 10:
This record from Alexandria via LeMat-Bulk describes a relaxed structure of Na2YRhPb. The functional is PBE-GGA.

## Properties
Formation energy ... 0.810 eV/atom

a b c (Å): 5.413 5.413 5.916
angles (deg): 90.00 90.00 90.00
Space group P4/mmm (No. 123)
Unique sites:
1 Na 0.000 0.500 0.000 (multiplicity 2)
2 Y 0.000 0.000 0.500 (multiplicity 1)
3 Rh 0.500 0.500 0.500 (multiplicity 1)
4 Pb 0.000 0.000 0.000 (multiplicity 1)

---

Entry 11:
This record from Alexandria via LeMat-Bulk describes a relaxed structure of InSb2Te4. The functional is PBE-GGA.

## Properties
Formation energy without anion corrections ... -0.096 eV per atom

a b c (Å): 4.277 14.431 15.083
angles (deg): 90.00 90.00 90.00
Space group Cmcm (No. 63)
Unique sites:
1 In 0.000 0.096 0.250 (multiplicity 4)
2 Sb 0.000 0.360 0.062 (multiplicity 8)
3 Te 0.000 0.000 0.000 (multiplicity 4)
4 Te 0.000 0.277 0.624 (multiplicity 8)
5 Te 0.000 0.452 0.250 (multiplicity 4)

---

Entry 12:
This record from Alexandria via LeMat-Bulk describes a relaxed structure of LiAcPPd6. The functional is PBE-GGA.

## Properties
Formation energy ... -0.411 eV/atom

a b c (Å): 5.834 9.510 12.245
angles (deg): 90.00 90.00 90.00
Space group Imma (No. 74)
Unique sites:
1 Li 0.250 0.250 0.250 (multiplicity 4)
2 Ac 0.000 0.250 0.655 (multiplicity 4)
3 P 0.000 0.000 0.000 (multiplicity 4)
4 Pd 0.000 0.250 0.426 (multiplicity 4)
5 Pd 0.000 0.250 0.955 (multiplicity 4)
6 Pd 0.248 0.018 0.362 (multiplicity 16)

---

Entry 13:
This record from Alexandria via LeMat-Bulk describes a relaxed structure of KNaZn2I. The functional is PBE-GGA.

## Properties
Formation energy without anion corrections ... 0.282 eV per atom

a b c (Å): 6.184 6.184 7.206
angles (deg): 90.00 90.00 90.00
Space group P4/mmm (No. 123)
Unique sites:
1 K 0.000 0.000 0.000 (multiplicity 1)
2 Na 0.000 0.000 0.500 (multiplicity 1)
3 Zn 0.000 0.500 0.000 (multiplicity 2)
4 I 0.500 0.500 0.500 (multiplicity 1)

---

Entry 14:
This record from Alexandria via LeMat-Bulk describes a relaxed structure of HgBi2Br2. The functional is PBE-GGA.

## Properties
Excess energy over the best structure of this formula in the dataset ... 175.9 meV per atom
Formation energy without anion corrections ... -0.075 eV per atom

a b c (Å): 4.485 4.485 19.195
angles (deg): 90.00 90.00 90.00
Space group I4/mmm (No. 139)
Unique sites:
1 Hg 0.000 0.000 0.000 (multiplicity 2)
2 Bi 0.000 0.500 0.250 (multiplicity 4)
3 Br 0.000 0.000 0.377 (multiplicity 4)

---

Entry 15:
This record from Alexandria via LeMat-Bulk describes a relaxed structure of FeGe3H. The functional is PBE-GGA.

## Properties
Excess energy over the best structure of this formula in the dataset ... 0.0 meV per atom

a b c (Å): 4.539 4.539 4.539
angles (deg): 90.00 90.00 90.00
Space group Pm-3m (No. 221)
Unique sites:
1 Fe 0.000 0.000 0.000 (multiplicity 1)
2 Ge 0.000 0.000 0.500 (multiplicity 3)
3 H 0.500 0.500 0.500 (multiplicity 1)

---

Entry 16:
This record from Alexandria via LeMat-Bulk describes a relaxed structure of TbBeV. The functional is PBE-GGA.

## Properties
Formation energy ... 0.227 eV/atom

a b c (Å): 4.677 4.687 9.685
angles (deg): 90.00 90.00 90.00
Space group Cmmm (No. 65)
Unique sites:
1 Tb 0.000 0.000 0.182 (multiplicity 4)
2 Be 0.000 0.000 0.500 (multiplicity 2)
3 Be 0.000 0.500 0.000 (multiplicity 2)
4 V 0.000 0.500 0.400 (multiplicity 4)

---

Entry 17:
This record from Alexandria via LeMat-Bulk describes a relaxed structure of TbTmCd2. The functional is PBE-GGA.

## Properties
Formation energy ... -0.315 eV/atom

a b c (Å): 5.239 5.239 3.775
angles (deg): 90.00 90.00 90.00
Space group P4/mmm (No. 123)
Unique sites:
1 Tb 0.000 0.000 0.000 (multiplicity 1)
2 Tm 0.500 0.500 0.000 (multiplicity 1)
3 Cd 0.000 0.500 0.500 (multiplicity 2)

---

Entry 18:
This record from Alexandria via LeMat-Bulk describes a relaxed structure of Tc2TeS. The functional is PBE-GGA.

## Properties
Excess energy over the best structure of this formula in the dataset ... 0.0 meV per atom
Formation energy without anion corrections ... 0.207 eV per atom

a b c (Å): 5.609 5.609 10.962
angles (deg): 90.00 90.00 90.00
Space group I-42d (No. 122)
Unique sites:
1 Tc 0.195 0.250 0.125 (multiplicity 8)
2 Te 0.000 0.000 0.500 (multiplicity 4)
3 S 0.000 0.000 0.000 (multiplicity 4)

---

Entry 19:
This record from Alexandria via LeMat-Bulk describes a relaxed structure of Ho2MnCo5Si2. The functional is PBE-GGA.

## Properties
Formation energy without anion corrections ... -0.361 eV per atom

a b c (Å): 9.406 9.406 3.231
angles (deg): 90.00 90.00 90.00
Space group P4/mbm (No. 127)
Unique sites:
1 Ho 0.176 0.324 0.000 (multiplicity 4)
2 Mn 0.000 0.000 0.000 (multiplicity 2)
3 Co 0.000 0.500 0.500 (multiplicity 2)
4 Co 0.064 0.787 0.500 (multiplicity 8)
5 Si 0.121 0.621 0.000 (multiplicity 4)

---

Entry 20:
This record from Alexandria via LeMat-Bulk describes a relaxed structure of K3Pm2TmS6. The functional is PBE-GGA.

## Properties
Formation energy without anion corrections ... -1.868 eV per atom

a b c (Å): 7.119 12.331 7.756
angles (deg): 90.00 107.83 90.00
Space group C2/m (No. 12)
Unique sites:
1 K 0.000 0.000 0.000 (multiplicity 2)
2 K 0.000 0.332 0.000 (multiplicity 4)
3 Pm 0.000 0.167 0.500 (multiplicity 4)
4 Tm 0.000 0.500 0.500 (multiplicity 2)
5 S 0.230 0.338 0.704 (multiplicity 8)
6 S 0.244 0.000 0.704 (multiplicity 4)

---

Number 1: theoretical density 4.65 g/cm³. Number 2: theoretical density 2.21 g/cm³. Number 3: theoretical density 13.42 g/cm³. Number 4: theoretical density 11.73 g/cm³. Number 5: theoretical density 8.23 g/cm³. Number 6: theoretical density 3.73 g/cm³. Number 7: theoretical density 8.29 g/cm³. Number 8: theoretical density 4.34 g/cm³. Number 9: theoretical density 7.80 g/cm³. Number 10: theoretical density 4.26 g/cm³. Number 11: theoretical density 6.20 g/cm³. Number 12: theoretical density 8.83 g/cm³. Number 13: theoretical density 1.93 g/cm³. Number 14: theoretical density 6.69 g/cm³. Number 15: theoretical density 4.88 g/cm³. Number 16: theoretical density 6.85 g/cm³. Number 17: theoretical density 8.86 g/cm³. Number 18: theoretical density 6.85 g/cm³. Number 19: theoretical density 8.55 g/cm³. Number 20: theoretical density 3.94 g/cm³.